(1)
This record from Alexandria describes a relaxed structure of Ta3TcSe. The functional is PBE.

Calculated values
- Magnetization: 0.00 μB/f.u.
- VASP energy: -0.6408 Ry per atom
- D(E_F): 4.550 states/eV/f.u.
- Formation energy (no corrections): 1.1630 eV/atom
- E above lowest polymorph: 11.3 meV per atom

a = 4.825 Å, b = 4.825 Å, c = 4.825 Å
α = 90.00°, β = 90.00°, γ = 90.00°
Sites, in units of the cell vectors:
Ta1 0.000 0.000 0.500
Ta2 0.000 0.500 0.000
Ta3 0.500 0.000 0.000
Tc1 0.000 0.000 0.000
Se1 0.500 0.500 0.500


(2)
This record from Alexandria describes a relaxed structure of TaTcSe2. The functional is PBE.

Calculated values
- Magnetization: 0.00 μB/f.u.
- VASP energy: -0.5481 Ry per atom
- D(E_F): 0.402 states/eV/f.u.
- Formation energy (no corrections): -0.1605 eV/atom
- E above lowest polymorph: 252.4 meV per atom

a = 4.763 Å, b = 4.763 Å, c = 6.365 Å
α = 97.41°, β = 97.41°, γ = 40.89°
Sites, in units of the cell vectors:
Ta1 0.000 0.000 0.000
Tc1 0.281 0.281 0.897
Se1 0.517 0.517 0.685
Se2 0.744 0.744 0.189


(3)
This record from Alexandria describes a relaxed structure of TaTcSe2. The functional is PBE.

Calculated values
- Magnetization: 0.26 μB/f.u.
- VASP energy: -0.5337 Ry per atom
- D(E_F): 3.275 states/eV/f.u.
- Formation energy (no corrections): 0.0357 eV/atom
- E above lowest polymorph: 448.6 meV per atom

a = 8.726 Å, b = 8.726 Å, c = 8.726 Å
α = 20.97°, β = 20.97°, γ = 20.97°
Sites, in units of the cell vectors:
Ta1 0.000 0.000 0.000
Tc1 0.500 0.500 0.500
Se1 0.406 0.406 0.406
Se2 0.594 0.594 0.594